(P)
A plane-wave DFT calculation with PBE-GGA was carried out for crystalline EuHoPd2 at its relaxed geometry.

Unit cell a=4.1443 b=4.1443 c=7.2452 alpha=73.38 beta=73.38 gamma=60.00
Closest atoms and distances in Å follow each position.
Fractional positions:
Ho 0.0000 0.0000 0.0000  6 Pd 2.85
Pd 0.2581 0.2581 0.2257  3 Ho 2.85, 3 Eu 3.04
Pd 0.7419 0.7419 0.7743  3 Ho 2.85, 3 Eu 3.04
Eu 0.5000 0.5000 0.5000  6 Pd 3.04

Values from the calculation:
For the density of states at the Fermi level, the calculation gives 11.40 states/eV/cell. The space group is R-3m.

(Q)
A plane-wave DFT calculation with PBE-GGA was carried out for crystalline EuHoPd2 at its relaxed geometry.

Unit cell a=3.5352 b=3.5352 c=7.2438 alpha=90.00 beta=90.00 gamma=90.00
Closest atoms and distances in Å follow each position.
Fractional positions:
Ho 0.5000 0.5000 0.0000  8 Pd 2.96
Pd 0.0000 0.0000 0.2188  4 Ho 2.96, 1 Pd 3.17, 4 Eu 3.22
Pd 0.0000 0.0000 0.7812  4 Ho 2.96, 1 Pd 3.17, 4 Eu 3.22
Eu 0.5000 0.5000 0.5000  8 Pd 3.22, 4 Eu 3.54

Values from the calculation:
For the density of states at the Fermi level, the calculation gives 10.09 states/eV/cell. The space group is P4/mmm.

(R)
A plane-wave DFT calculation with PBE-GGA was carried out for crystalline EuHoPd2 at its relaxed geometry.

Unit cell a=5.0203 b=5.0203 c=5.0203 alpha=60.00 beta=60.00 gamma=60.00
Closest atoms and distances in Å follow each position.
Fractional positions:
Pd 0.2500 0.2500 0.2500  4 Ho 3.07, 4 Eu 3.07
Ho 0.5000 0.5000 0.5000  8 Pd 3.07
Pd 0.7500 0.7500 0.7500  4 Eu 3.07, 4 Ho 3.07
Eu 0.0000 0.0000 0.0000  8 Pd 3.07

Values from the calculation:
For the density of states at the Fermi level, the calculation gives 8.91 states/eV/cell. The space group is Fm-3m.

Name the most stable of them. (Q).

(P)
A plane-wave DFT calculation with PBE-GGA was carried out for crystalline EuHo2Pt at its relaxed geometry.

Unit cell a=3.5549 b=3.5549 c=9.0405 alpha=90.00 beta=90.00 gamma=90.00
Closest atoms and distances in Å follow each position.
Fractional positions:
Ho 0.0000 0.0000 0.1791  4 Pt 2.99, 1 Ho 3.24
Ho 0.0000 0.0000 0.8209  4 Pt 2.99, 1 Ho 3.24
Eu 0.5000 0.5000 0.5000  4 Eu 3.55, 8 Ho 3.84
Pt 0.5000 0.5000 0.0000  8 Ho 2.99

Values from the calculation:
For the density of states at the Fermi level, the calculation gives 3.88 states/eV/cell. The space group is P4/mmm.

(Q)
A plane-wave DFT calculation with PBE-GGA was carried out for crystalline EuHo2Pt at its relaxed geometry.

Unit cell a=4.0805 b=4.0805 c=9.5829 alpha=77.71 beta=77.71 gamma=60.00
Closest atoms and distances in Å follow each position.
Fractional positions:
Ho 0.2801 0.2801 0.1597  3 Pt 2.78
Eu 0.5000 0.5000 0.5000  6 Ho 3.94, 6 Eu 4.08
Pt 0.0000 0.0000 0.0000  6 Ho 2.78
Ho 0.7199 0.7199 0.8403  3 Pt 2.78

Values from the calculation:
For the density of states at the Fermi level, the calculation gives 4.18 states/eV/cell. The space group is R-3m.

Name the most stable of them. (P).

(P)
A plane-wave DFT calculation with PBE-GGA was carried out for crystalline EuHo2Sc at its relaxed geometry.

Unit cell a=5.5922 b=5.5922 c=5.5922 alpha=60.00 beta=60.00 gamma=60.00
Closest atoms and distances in Å follow each position.
Fractional positions:
Ho 0.2500 0.2500 0.2500  4 Eu 3.42, 4 Sc 3.42
Ho 0.7500 0.7500 0.7500  4 Sc 3.42, 4 Eu 3.42
Sc 0.5000 0.5000 0.5000  8 Ho 3.42
Eu 0.0000 0.0000 0.0000  8 Ho 3.42

Values from the calculation:
For the density of states at the Fermi level, the calculation gives 7.67 states/eV/cell. The space group is Fm-3m.

(Q)
A plane-wave DFT calculation with PBE-GGA was carried out for crystalline EuHo2Sc at its relaxed geometry.

Unit cell a=4.9990 b=4.9528 c=4.9528 alpha=90.00 beta=90.00 gamma=90.00
Closest atoms and distances in Å follow each position.
Fractional positions:
Ho 0.0000 0.5000 0.0000  4 Ho 3.50, 4 Sc 3.52, 4 Eu 3.52
Sc 0.5000 0.0000 0.0000  4 Eu 3.50, 8 Ho 3.52
Eu 0.5000 0.5000 0.5000  4 Sc 3.50, 8 Ho 3.52
Ho 0.0000 0.0000 0.5000  4 Ho 3.50, 4 Sc 3.52, 4 Eu 3.52

Values from the calculation:
For the density of states at the Fermi level, the calculation gives 6.77 states/eV/cell. The space group is P4/mmm.

(R)
A plane-wave DFT calculation with PBE-GGA was carried out for crystalline EuHo2Sc at its relaxed geometry.

Unit cell a=3.5701 b=3.5701 c=9.8035 alpha=90.00 beta=90.00 gamma=90.00
Closest atoms and distances in Å follow each position.
Fractional positions:
Eu 0.5000 0.5000 0.5000  4 Eu 3.57, 8 Ho 3.72
Ho 0.0000 0.0000 0.2207  4 Sc 3.33, 4 Ho 3.57
Ho 0.0000 0.0000 0.7793  4 Sc 3.33, 4 Ho 3.57
Sc 0.5000 0.5000 0.0000  8 Ho 3.33, 4 Sc 3.57

Values from the calculation:
For the density of states at the Fermi level, the calculation gives 6.07 states/eV/cell. The space group is P4/mmm.

Name the most stable of them. (R).

(P)
A plane-wave DFT calculation with PBE-GGA was carried out for crystalline EuHoSc2 at its relaxed geometry.

Unit cell a=3.8497 b=5.4786 c=5.4786 alpha=90.00 beta=90.00 gamma=90.00
Closest atoms and distances in Å follow each position.
Fractional positions:
Sc 0.0000 0.5000 0.0000  4 Ho 3.35, 4 Eu 3.35
Eu 0.5000 0.5000 0.5000  8 Sc 3.35
Ho 0.5000 0.0000 0.0000  8 Sc 3.35
Sc 0.0000 0.0000 0.5000  4 Ho 3.35, 4 Eu 3.35

Values from the calculation:
For the density of states at the Fermi level, the calculation gives 6.64 states/eV/cell. The space group is P4/mmm.

(Q)
A plane-wave DFT calculation with PBE-GGA was carried out for crystalline EuHoSc2 at its relaxed geometry.

Unit cell a=3.4904 b=3.4904 c=9.6414 alpha=90.00 beta=90.00 gamma=90.00
Closest atoms and distances in Å follow each position.
Fractional positions:
Eu 0.5000 0.5000 0.5000  4 Eu 3.49, 8 Sc 3.56
Sc 0.0000 0.0000 0.7666  4 Ho 3.34, 4 Sc 3.49, 4 Eu 3.56
Sc 0.0000 0.0000 0.2334  4 Ho 3.34, 4 Sc 3.49, 4 Eu 3.56
Ho 0.5000 0.5000 0.0000  8 Sc 3.34, 4 Ho 3.49

Values from the calculation:
For the density of states at the Fermi level, the calculation gives 6.20 states/eV/cell. The space group is P4/mmm.

Name the most stable of them. (Q).

(P)
A plane-wave DFT calculation with PBE-GGA was carried out for crystalline Eu2HoSc at its relaxed geometry.

Unit cell a=5.1921 b=5.0390 c=5.0390 alpha=90.00 beta=90.00 gamma=90.00
Closest atoms and distances in Å follow each position.
Fractional positions:
Ho 0.5000 0.0000 0.0000  4 Sc 3.56, 8 Eu 3.62
Eu 0.0000 0.5000 0.0000  4 Eu 3.56, 4 Ho 3.62, 4 Sc 3.62
Sc 0.5000 0.5000 0.5000  4 Ho 3.56, 8 Eu 3.62
Eu 0.0000 0.0000 0.5000  4 Eu 3.56, 4 Ho 3.62, 4 Sc 3.62

Values from the calculation:
For the density of states at the Fermi level, the calculation gives 6.02 states/eV/cell. The space group is P4/mmm.

(Q)
A plane-wave DFT calculation with PBE-GGA was carried out for crystalline Eu2HoSc at its relaxed geometry.

Unit cell a=3.4858 b=3.4858 c=12.6275 alpha=82.07 beta=82.07 gamma=60.00
Closest atoms and distances in Å follow each position.
Fractional positions:
Eu 0.0844 0.0844 0.7468  1 Sc 3.16, 6 Eu 3.49
Sc 0.0000 0.0000 0.0000  2 Eu 3.16, 6 Sc 3.49
Eu 0.9156 0.9156 0.2532  1 Sc 3.16, 6 Eu 3.49
Ho 0.5000 0.5000 0.5000  6 Ho 3.49, 6 Eu 3.68

Values from the calculation:
For the density of states at the Fermi level, the calculation gives 6.54 states/eV/cell. The space group is R-3m.

(R)
A plane-wave DFT calculation with PBE-GGA was carried out for crystalline Eu2HoSc at its relaxed geometry.

Unit cell a=5.7071 b=5.7071 c=5.7071 alpha=60.00 beta=60.00 gamma=60.00
Closest atoms and distances in Å follow each position.
Fractional positions:
Eu 0.2500 0.2500 0.2500  4 Ho 3.49, 4 Sc 3.49
Sc 0.5000 0.5000 0.5000  8 Eu 3.49
Ho 0.0000 0.0000 0.0000  8 Eu 3.49
Eu 0.7500 0.7500 0.7500  4 Sc 3.49, 4 Ho 3.49

Values from the calculation:
For the density of states at the Fermi level, the calculation gives 5.51 states/eV/cell. The space group is Fm-3m.

Name the most stable of them. (P).

(P)
A plane-wave DFT calculation with PBE-GGA was carried out for crystalline SmEuHo2 at its relaxed geometry.

Unit cell a=3.6331 b=3.6331 c=10.2534 alpha=90.00 beta=90.00 gamma=90.00
Closest atoms and distances in Å follow each position.
Fractional positions:
Ho 0.0000 0.0000 0.7634  4 Sm 3.53, 4 Ho 3.63, 4 Eu 3.73
Eu 0.5000 0.5000 0.5000  4 Eu 3.63, 8 Ho 3.73
Sm 0.5000 0.5000 0.0000  8 Ho 3.53, 4 Sm 3.63
Ho 0.0000 0.0000 0.2366  4 Sm 3.53, 4 Ho 3.63, 4 Eu 3.73

Values from the calculation:
For the density of states at the Fermi level, the calculation gives 5.76 states/eV/cell. The space group is P4/mmm.

(Q)
A plane-wave DFT calculation with PBE-GGA was carried out for crystalline SmEuHo2 at its relaxed geometry.

Unit cell a=5.7530 b=5.7530 c=5.7530 alpha=60.00 beta=60.00 gamma=60.00
Closest atoms and distances in Å follow each position.
Fractional positions:
Eu 0.0000 0.0000 0.0000  8 Ho 3.52
Sm 0.5000 0.5000 0.5000  8 Ho 3.52
Ho 0.7500 0.7500 0.7500  4 Sm 3.52, 4 Eu 3.52
Ho 0.2500 0.2500 0.2500  4 Sm 3.52, 4 Eu 3.52

Values from the calculation:
For the density of states at the Fermi level, the calculation gives 7.53 states/eV/cell. The space group is Fm-3m.

(R)
A plane-wave DFT calculation with PBE-GGA was carried out for crystalline SmEuHo2 at its relaxed geometry.

Unit cell a=3.5452 b=3.5452 c=12.7238 alpha=81.99 beta=81.99 gamma=60.00
Closest atoms and distances in Å follow each position.
Fractional positions:
Ho 0.0906 0.0906 0.7281  1 Eu 3.41, 3 Sm 3.52, 6 Ho 3.55
Eu 0.0000 0.0000 0.0000  2 Ho 3.41, 6 Eu 3.55
Ho 0.9094 0.9094 0.2719  1 Eu 3.41, 3 Sm 3.52, 6 Ho 3.55
Sm 0.5000 0.5000 0.5000  6 Ho 3.52, 6 Sm 3.55

Values from the calculation:
For the density of states at the Fermi level, the calculation gives 6.16 states/eV/cell. The space group is R-3m.

Name the most stable of them. (P).